(1)
PmCd4Pd15 | PBE-GGA | relaxed

calculated total energy	-4.658	eV/atom
mass density	10848	kg/m3
DFT formation energy	-343	meV per atom

a b c (Å): 4.0831 4.0831 20.1161
angles (deg): 90.00 90.00 90.00
Last column: nearest neighbours and their distance in Å.
Positions (direct):
Pd1 0.5000 0.0000 0.5000  8 Pd 2.83-2.89, 4 Cd 2.84
Pd2 0.0000 0.5000 0.1067  8 Pd 2.85-2.96, 2 Cd 2.86, 2 Pm 2.96
Pd3 0.5000 0.5000 0.0000  4 Pm 2.89, 8 Pd 2.96
Pd4 0.5000 0.5000 0.2052  8 Pd 2.85, 4 Cd 2.89
Pd5 0.5000 0.5000 0.7948  8 Pd 2.85, 4 Cd 2.89
Pd6 0.5000 0.5000 0.4025  8 Pd 2.83-2.84, 4 Cd 2.89
Pd7 0.0000 0.5000 0.6957  4 Cd 2.83-2.84, 8 Pd 2.84-2.89
Pd8 0.5000 0.5000 0.5975  8 Pd 2.83-2.84, 4 Cd 2.89
Pd9 0.0000 0.5000 0.5000  8 Pd 2.83-2.89, 4 Cd 2.84
Pd10 0.5000 0.0000 0.1067  8 Pd 2.85-2.96, 2 Cd 2.86, 2 Pm 2.96
Pd11 0.5000 0.0000 0.8933  8 Pd 2.85-2.96, 2 Cd 2.86, 2 Pm 2.96
Pd12 0.5000 0.0000 0.3043  4 Cd 2.83-2.84, 8 Pd 2.84-2.89
Pd13 0.0000 0.5000 0.8933  8 Pd 2.85-2.96, 2 Cd 2.86, 2 Pm 2.96
Pd14 0.0000 0.5000 0.3043  4 Cd 2.83-2.84, 8 Pd 2.84-2.89
Pd15 0.5000 0.0000 0.6957  4 Cd 2.83-2.84, 8 Pd 2.84-2.89
Cd1 0.0000 0.0000 0.4019  12 Pd 2.83-2.89
Cd2 0.0000 0.0000 0.5981  12 Pd 2.83-2.89
Cd3 0.0000 0.0000 0.7940  12 Pd 2.84-2.89
Cd4 0.0000 0.0000 0.2060  12 Pd 2.84-2.89
Pm1 0.0000 0.0000 0.0000  12 Pd 2.89-2.96



(2)
PmCd2Pd8 | PBE-GGA | relaxed

calculated total energy	-4.814	eV/atom
mass density	10687	kg/m3
DFT formation energy	-439	meV per atom

a b c (Å): 4.1828 6.4433 7.6014
angles (deg): 104.95 105.97 90.00
Last column: nearest neighbours and their distance in Å.
Positions (direct):
Pd1 0.0428 0.7186 0.0857  9 Pd 2.76-2.98, 1 Cd 2.82, 2 Pm 2.94
Pd2 0.4078 0.5343 0.8156  8 Pd 2.83-2.95, 3 Cd 2.88-2.95, 1 Pm 2.94
Pd3 0.1402 0.1890 0.2804  7 Pd 2.83-2.98, 3 Cd 2.87-2.88, 2 Pm 2.95
Pd4 0.9572 0.2814 0.9144  9 Pd 2.76-2.98, 1 Cd 2.82, 2 Pm 2.94
Pd5 0.3171 0.0876 0.6342  3 Cd 2.79-2.87, 8 Pd 2.83-2.96, 1 Pm 2.88
Pd6 0.8598 0.8110 0.7196  7 Pd 2.83-2.98, 3 Cd 2.87-2.88, 2 Pm 2.95
Pd7 0.5922 0.4657 0.1844  8 Pd 2.83-2.95, 3 Cd 2.88-2.95, 1 Pm 2.94
Pd8 0.6829 0.9124 0.3658  3 Cd 2.79-2.87, 8 Pd 2.83-2.96, 1 Pm 2.88
Cd1 0.2250 0.6479 0.4499  10 Pd 2.79-2.95, 2 Cd 3.05
Cd2 0.7750 0.3521 0.5501  10 Pd 2.79-2.95, 2 Cd 3.05
Pm1 0.5000 0.0000 0.0000  12 Pd 2.88-2.95



(3)
Pm2CdSb3Pd4 | PBE-GGA | relaxed

E_form (uncorrected)	-0.78	eV/atom
calculated total energy	-5.139	eV/atom
mass density	8913	kg/m3

a b c (Å): 4.4474 4.4474 11.2406
angles (deg): 90.00 90.00 90.00
Last column: nearest neighbours and their distance in Å.
Positions (direct):
Sb1 0.0000 0.5000 0.1338  5 Pd 2.56-2.68
Sb2 0.5000 0.0000 0.8662  5 Pd 2.56-2.68
Sb3 0.0000 0.0000 0.5000  4 Pd 2.72
Pd1 0.0000 0.5000 0.3611  3 Sb 2.56-2.72, 2 Cd 2.72
Pd2 0.5000 0.0000 0.6389  3 Sb 2.56-2.72, 2 Cd 2.72
Pd3 0.0000 0.0000 0.0000  4 Sb 2.68
Pd4 0.5000 0.5000 0.0000  4 Sb 2.68
Cd1 0.5000 0.5000 0.5000  4 Pd 2.72
Pm1 0.0000 0.5000 0.7642  6 Sb 3.35-3.71, 8 Pd 3.45-3.46, 2 Cd 3.71
Pm2 0.5000 0.0000 0.2358  6 Sb 3.35-3.71, 8 Pd 3.45-3.46, 2 Cd 3.71



(4)
PmScCdPd | PBE-GGA | relaxed

calculated total energy	-4.768	eV/atom
mass density	7392	kg/m3
DFT formation energy	-471	meV per atom

a b c (Å): 5.0641 5.0641 5.0641
angles (deg): 60.00 60.00 60.00
Last column: nearest neighbours and their distance in Å.
Positions (direct):
Cd1 0.7500 0.7500 0.7500  4 Sc 3.10, 4 Pm 3.10
Sc1 0.0000 0.0000 0.0000  4 Pd 3.10, 4 Cd 3.10
Pd1 0.2500 0.2500 0.2500  4 Pm 3.10, 4 Sc 3.10
Pm1 0.5000 0.5000 0.5000  4 Cd 3.10, 4 Pd 3.10



(5)
PmScCd2Pd4 | PBE-GGA | relaxed

calculated total energy	-4.891	eV/atom
mass density	9110	kg/m3
DFT formation energy	-681	meV per atom

a b c (Å): 4.7283 4.7283 8.3706
angles (deg): 73.59 73.59 60.00
Last column: nearest neighbours and their distance in Å.
Positions (direct):
Pd1 0.1282 0.1282 0.6153  4 Cd 2.84-2.91, 3 Sc 2.88, 1 Pm 3.04
Pd2 0.3842 0.3842 0.8475  1 Sc 2.75, 3 Cd 2.85, 3 Pm 2.98
Pd3 0.6158 0.6158 0.1525  1 Sc 2.75, 3 Cd 2.85, 3 Pm 2.98
Pd4 0.8718 0.8718 0.3847  4 Cd 2.84-2.91, 3 Sc 2.88, 1 Pm 3.04
Cd1 0.2479 0.2479 0.2562  7 Pd 2.84-2.91
Cd2 0.7521 0.7521 0.7438  7 Pd 2.84-2.91
Sc1 0.5000 0.5000 0.5000  8 Pd 2.75-2.88
Pm1 0.0000 0.0000 0.0000  8 Pd 2.98-3.04



(6)
Pm2CdSi3Pd4 | PBE-GGA | relaxed

E_form (uncorrected)	-0.78	eV/atom
calculated total energy	-5.529	eV/atom
mass density	8020	kg/m3

a b c (Å): 4.2704 4.2704 10.3580
angles (deg): 90.00 90.00 90.00
Last column: nearest neighbours and their distance in Å.
Positions (direct):
Si1 0.0000 0.5000 0.1219  5 Pd 2.36-2.48
Si2 0.0000 0.0000 0.5000  4 Pd 2.64
Si3 0.5000 0.0000 0.8781  5 Pd 2.36-2.48
Pd1 0.5000 0.5000 0.0000  4 Si 2.48
Pd2 0.0000 0.0000 0.0000  4 Si 2.48
Pd3 0.0000 0.5000 0.3498  3 Si 2.36-2.64, 2 Cd 2.64
Pd4 0.5000 0.0000 0.6502  3 Si 2.36-2.64, 2 Cd 2.64
Pm1 0.5000 0.0000 0.2441  8 Pd 3.21-3.31, 6 Si 3.27-3.40, 2 Cd 3.40
Pm2 0.0000 0.5000 0.7559  8 Pd 3.21-3.31, 6 Si 3.27-3.40, 2 Cd 3.40
Cd1 0.5000 0.5000 0.5000  4 Pd 2.64



Number 1: size of the total moment 0.0 μB per formula unit. Number 2: size of the total moment 0.0 μB per formula unit. Number 3: size of the total moment 0.0 μB per formula unit. Number 4: size of the total moment 0.0 μB per formula unit. Number 5: size of the total moment 0.0 μB per formula unit. Number 6: size of the total moment 0.0 μB per formula unit.